Record 1
# Tb2SmY2Sc, relaxed, DFT PBE
data_Tb2SmY2Sc
_chemical_formula_sum 'Tb4 Sm2 Y4 Sc2'
_cell_length_a 6.9347
_cell_length_b 5.5780
_cell_length_c 9.6218
_cell_angle_alpha 90.00
_cell_angle_beta 90.00
_cell_angle_gamma 90.00
_symmetry_space_group_name_H-M 'P m m a'
_symmetry_Int_Tables_number 51
_symmetry_space_group_name_Hall '-P 2a 2a'
loop_
_atom_site_label
_atom_site_fract_x
_atom_site_fract_y
_atom_site_fract_z
Tb1 0.2500 0.0000 0.1611
Tb2 0.2500 0.5000 0.6739
Sm1 0.0000 0.5000 0.0000
Y1 0.0000 0.0000 0.5000
Y2 0.2500 0.5000 0.3384
Sc1 0.2500 0.0000 0.8287
# Density of states at the Fermi level: 1.850 states/eV per atom
# Calculated volume: 372.19 Å³/cell
# Total magnetization: 0.000 μB/atom
# Energy: -0.402 Ry per atom



Record 2
# TeAu2Br, relaxed, DFT PBE
data_TeAu2Br
_chemical_formula_sum 'Te2 Au4 Br2'
_cell_length_a 4.5056
_cell_length_b 4.5056
_cell_length_c 9.0151
_cell_angle_alpha 90.00
_cell_angle_beta 90.00
_cell_angle_gamma 90.00
_symmetry_space_group_name_H-M 'I -4 m 2'
_symmetry_Int_Tables_number 119
_symmetry_space_group_name_Hall 'I -4 -2'
loop_
_atom_site_label
_atom_site_fract_x
_atom_site_fract_y
_atom_site_fract_z
Te1 0.0000 0.0000 0.0000
Au1 0.0000 0.0000 0.5000
Au2 0.0000 0.5000 0.7500
Br1 0.0000 0.5000 0.2500
# Energy relative to the lowest polymorph listed for this composition: 502 meV per atom
# Density of states at the Fermi level: 0.807 states/eV per atom
# Calculated volume: 183.02 Å³/cell
# Formation energy without anion corrections: 0.4702 eV per atom
# Total magnetization: 0.000 μB/atom